No. 1
A plane-wave DFT calculation with GGA-PBE was carried out for a geometry-optimized CsK2MnCl6 structure.

abc: 7.412 8.219 10.641
angles: 90.00 86.24 90.00
Last column: magnetic moment on the atom in μB.
Atoms (fractional coordinates):
Cl1 0.654 0.248 0.617  0.06
Cl2 0.625 0.098 0.310  -0.01
Cl3 0.846 0.748 0.883  0.06
K1 0.526 0.552 0.773  0.00
Cl4 0.257 0.653 0.024  -0.01
Cl5 0.875 0.598 0.190  -0.01
K2 0.974 0.052 0.727  0.00
Cl6 0.346 0.752 0.383  0.06
K3 0.474 0.448 0.227  0.00
Mn1 0.000 0.500 0.000  3.67
Cl7 0.757 0.847 0.524  -0.01
Cl8 0.243 0.153 0.476  -0.01
Cl9 0.154 0.252 0.117  0.06
Cl10 0.743 0.347 0.976  -0.01
Mn2 0.500 0.000 0.500  3.67
Cs1 0.500 0.000 0.000  0.00
Cs2 0.000 0.500 0.500  0.00
Cl11 0.375 0.902 0.690  -0.01
K4 0.026 0.948 0.273  0.00
Cl12 0.125 0.402 0.810  -0.01

## Properties
For the total magnetization, the calculation gives 4.00 μB per formula unit. As for the crystal system: monoclinic. The formation energy from raw total energies comes out at -1571 meV/atom. Its calculated density is 2.46 g cm⁻³.



No. 2
A plane-wave DFT calculation with GGA-PBE was carried out for a geometry-optimized Cs2KMn2Cl7 structure.

abc: 5.141 5.141 14.006
angles: 79.44 79.44 90.00
Last column: magnetic moment on the atom in μB.
Atoms (fractional coordinates):
Cl1 0.500 0.500 0.000  0.06
Cl2 0.910 0.410 0.180  0.06
Mn1 0.594 0.594 0.812  4.46
Cl3 0.090 0.590 0.820  0.06
Cl4 0.314 0.314 0.373  0.04
K1 0.000 0.000 0.000  0.00
Cl5 0.590 0.090 0.820  0.06
Cl6 0.410 0.910 0.180  0.06
Cl7 0.686 0.686 0.627  0.04
Cs1 0.181 0.181 0.638  0.00
Cs2 0.819 0.819 0.362  0.00
Mn2 0.406 0.406 0.188  4.46

## Properties
For the total magnetization, the calculation gives 10.00 μB per formula unit. As for the crystal system: tetragonal. The formation energy from raw total energies comes out at -1550 meV/atom. Its calculated density is 3.08 g cm⁻³.



No. 3
A plane-wave DFT calculation with GGA-PBE was carried out for a geometry-optimized CsK2MnCl8 structure.

abc: 6.845 5.698 9.367
angles: 73.65 90.15 90.22
Last column: magnetic moment on the atom in μB.
Atoms (fractional coordinates):
Cl1 0.763 0.169 0.112  0.00
K1 0.499 0.662 0.186  0.00
Cl2 0.500 0.752 0.503  0.00
Cl3 0.500 0.248 0.497  0.00
Cl4 0.000 0.331 0.792  0.00
Cl5 0.239 0.170 0.111  0.00
Cl6 0.237 0.831 0.888  0.00
K2 0.501 0.338 0.814  0.00
Mn1 0.000 0.000 0.000  2.89
Cl7 0.000 0.669 0.208  0.00
Cl8 0.761 0.830 0.889  0.00
Cs1 0.000 0.000 0.500  0.00

## Properties
For the total magnetization, the calculation gives 3.07 μB per formula unit. As for the crystal system: triclinic. The formation energy from raw total energies comes out at -1348 meV/atom. Its calculated density is 2.60 g cm⁻³.